1) # PBE UPdRh2, relaxed
data_UPdRh2
_chemical_formula_sum 'U4 Pd4 Rh8'
_cell_length_a 6.486
_cell_length_b 6.486
_cell_length_c 6.486
_cell_angle_alpha 90.00
_cell_angle_beta 90.00
_cell_angle_gamma 90.00
_space_group_name_H-M_alt 'F m -3 m'
_space_group_IT_number 225
_space_group_name_Hall '-F 4 2 3'
loop_
_atom_site_label
_atom_site_type_symbol
_atom_site_fract_x
_atom_site_fract_y
_atom_site_fract_z
U1 U 0.000 0.000 0.000
Pd1 Pd 0.000 0.000 0.500
Rh1 Rh 0.250 0.250 0.250
# - crystal system = cubic



2) # PBE UPdRh2, relaxed
data_UPdRh2
_chemical_formula_sum 'U1 Pd1 Rh2'
_cell_length_a 4.119
_cell_length_b 4.119
_cell_length_c 3.900
_cell_angle_alpha 90.00
_cell_angle_beta 90.00
_cell_angle_gamma 90.00
_space_group_name_H-M_alt 'P 4/m m m'
_space_group_IT_number 123
_space_group_name_Hall '-P 4 2'
loop_
_atom_site_label
_atom_site_type_symbol
_atom_site_fract_x
_atom_site_fract_y
_atom_site_fract_z
U1 U 0.000 0.000 0.000
Pd1 Pd 0.500 0.500 0.000
Rh1 Rh 0.000 0.500 0.500
# - crystal system = tetragonal



3) # PBE UPdRh2, relaxed
data_UPdRh2
_chemical_formula_sum 'U3 Pd3 Rh6'
_cell_length_a 2.8254
_cell_length_b 2.8254
_cell_length_c 28.2968
_cell_angle_alpha 90.00
_cell_angle_beta 90.00
_cell_angle_gamma 120.00
_space_group_name_H-M_alt 'R -3 m'
_space_group_IT_number 166
_space_group_name_Hall '-R 3 2"'
loop_
_atom_site_label
_atom_site_type_symbol
_atom_site_fract_x
_atom_site_fract_y
_atom_site_fract_z
U1 U 0.0000 0.0000 0.0000
Pd1 Pd 0.0000 0.0000 0.5000
Rh1 Rh 0.0000 0.0000 0.2489
# - crystal system = trigonal



In kJ/mol of atoms, relative to the most stable structure: 1) 19.8; 2) 0.0; 3) 57.0.



1) # PBE V2PdRh4, relaxed
data_V2PdRh4
_chemical_formula_sum 'V4 Pd2 Rh8'
_cell_length_a 3.422
_cell_length_b 3.422
_cell_length_c 18.554
_cell_angle_alpha 90.00
_cell_angle_beta 90.00
_cell_angle_gamma 90.00
_space_group_name_H-M_alt 'I 4/m m m'
_space_group_IT_number 139
_space_group_name_Hall '-I 4 2'
loop_
_atom_site_label
_atom_site_type_symbol
_atom_site_fract_x
_atom_site_fract_y
_atom_site_fract_z
V1 V 0.000 0.000 0.081
Pd1 Pd 0.000 0.000 0.500
Rh1 Rh 0.000 0.000 0.361
Rh2 Rh 0.000 0.500 0.250
# - crystal system = tetragonal



2) # PBE V2PdRh4, relaxed
data_V2PdRh4
_chemical_formula_sum 'V4 Pd2 Rh8'
_cell_length_a 4.733
_cell_length_b 4.733
_cell_length_c 11.881
_cell_angle_alpha 90.00
_cell_angle_beta 90.00
_cell_angle_gamma 90.00
_space_group_name_H-M_alt 'I 4/m m m'
_space_group_IT_number 139
_space_group_name_Hall '-I 4 2'
loop_
_atom_site_label
_atom_site_type_symbol
_atom_site_fract_x
_atom_site_fract_y
_atom_site_fract_z
V1 V 0.000 0.000 0.108
Pd1 Pd 0.000 0.000 0.500
Rh1 Rh 0.000 0.000 0.282
Rh2 Rh 0.000 0.500 0.000
# - crystal system = tetragonal



3) # PBE V2PdRh4, relaxed
data_V2PdRh4
_chemical_formula_sum 'V4 Pd2 Rh8'
_cell_length_a 4.861
_cell_length_b 9.894
_cell_length_c 4.245
_cell_angle_alpha 90.00
_cell_angle_beta 90.00
_cell_angle_gamma 90.00
_space_group_name_H-M_alt 'P b a m'
_space_group_IT_number 55
loop_
_space_group_symop_operation_xyz
'x,y,z'
'-x,-y,-z'
'-x,-y,z'
'x,y,-z'
'x+1/2,-y+1/2,-z'
'-x+1/2,y+1/2,z'
'-x+1/2,y+1/2,-z'
'x+1/2,-y+1/2,z'
loop_
_atom_site_label
_atom_site_type_symbol
_atom_site_fract_x
_atom_site_fract_y
_atom_site_fract_z
V1 V 0.197 0.076 0.000
Pd1 Pd 0.000 0.500 0.500
Rh1 Rh 0.014 0.175 0.500
Rh2 Rh 0.159 0.336 0.000
# - crystal system = orthorhombic



In kJ/mol of atoms, relative to the most stable structure: 1) 28.6; 2) 99.6; 3) 0.0.



1) # PBE V2PdRh2, relaxed
data_V2PdRh2
_chemical_formula_sum 'V4 Pd2 Rh4'
_cell_length_a 7.286
_cell_length_b 7.286
_cell_length_c 2.754
_cell_angle_alpha 90.00
_cell_angle_beta 90.00
_cell_angle_gamma 90.00
_space_group_name_H-M_alt 'P 4/m b m'
_space_group_IT_number 127
_space_group_name_Hall '-P 4 2ab'
loop_
_atom_site_label
_atom_site_type_symbol
_atom_site_fract_x
_atom_site_fract_y
_atom_site_fract_z
V1 V 0.147 0.353 0.000
Pd1 Pd 0.000 0.000 0.000
Rh1 Rh 0.148 0.648 0.500
# - crystal system = tetragonal



2) # PBE V2PdRh2, relaxed
data_V2PdRh2
_chemical_formula_sum 'V4 Pd2 Rh4'
_cell_length_a 7.185
_cell_length_b 7.185
_cell_length_c 2.808
_cell_angle_alpha 90.00
_cell_angle_beta 90.00
_cell_angle_gamma 90.00
_space_group_name_H-M_alt 'P 4/m b m'
_space_group_IT_number 127
_space_group_name_Hall '-P 4 2ab'
loop_
_atom_site_label
_atom_site_type_symbol
_atom_site_fract_x
_atom_site_fract_y
_atom_site_fract_z
V1 V 0.167 0.333 0.000
Pd1 Pd 0.000 0.000 0.500
Rh1 Rh 0.134 0.634 0.500
# - crystal system = tetragonal



3) # PBE V2PdRh2, relaxed
data_V2PdRh2
_chemical_formula_sum 'V4 Pd2 Rh4'
_cell_length_a 2.741
_cell_length_b 4.311
_cell_length_c 12.062
_cell_angle_alpha 90.00
_cell_angle_beta 90.00
_cell_angle_gamma 90.00
_space_group_name_H-M_alt 'P m m n'
_space_group_IT_number 59
loop_
_space_group_symop_operation_xyz
'x,y,z'
'-x,-y,-z'
'-x+1/2,-y+1/2,z'
'x+1/2,y+1/2,-z'
'x+1/2,-y,-z'
'-x+1/2,y,z'
'-x,y+1/2,-z'
'x,-y+1/2,z'
loop_
_atom_site_label
_atom_site_type_symbol
_atom_site_fract_x
_atom_site_fract_y
_atom_site_fract_z
V1 V 0.250 0.250 0.050
V2 V 0.250 0.750 0.352
Pd1 Pd 0.250 0.750 0.747
Rh1 Rh 0.250 0.250 0.461
Rh2 Rh 0.250 0.750 0.144
# - crystal system = orthorhombic



In kJ/mol of atoms, relative to the most stable structure: 1) 7.0; 2) 0.0; 3) 5.3.



1) # PBE VPdRh, relaxed
data_VPdRh
_chemical_formula_sum 'V2 Pd2 Rh2'
_cell_length_a 2.746
_cell_length_b 2.746
_cell_length_c 11.350
_cell_angle_alpha 90.00
_cell_angle_beta 90.00
_cell_angle_gamma 90.00
_space_group_name_H-M_alt 'I 4 m m'
_space_group_IT_number 107
_space_group_name_Hall 'I 4 -2'
loop_
_atom_site_label
_atom_site_type_symbol
_atom_site_fract_x
_atom_site_fract_y
_atom_site_fract_z
V1 V 0.000 0.000 0.000
Pd1 Pd 0.000 0.000 0.335
Rh1 Rh 0.000 0.000 0.649
# - crystal system = tetragonal



2) # PBE VPdRh, relaxed
data_VPdRh
_chemical_formula_sum 'V2 Pd2 Rh2'
_cell_length_a 3.842
_cell_length_b 4.836
_cell_length_c 6.085
_cell_angle_alpha 67.36
_cell_angle_beta 72.00
_cell_angle_gamma 66.62
_space_group_name_H-M_alt 'P 1'
_space_group_IT_number 1
loop_
_space_group_symop_operation_xyz
'x,y,z'
loop_
_atom_site_label
_atom_site_type_symbol
_atom_site_fract_x
_atom_site_fract_y
_atom_site_fract_z
V1 V 0.000 0.000 0.000
V2 V 0.271 0.255 0.204
Pd1 Pd 0.248 0.894 0.602
Pd2 Pd 0.716 0.600 0.966
Rh1 Rh 0.490 0.256 0.758
Rh2 Rh 0.968 0.667 0.387
# - crystal system = triclinic



3) # PBE VPdRh, relaxed
data_VPdRh
_chemical_formula_sum 'V1 Pd1 Rh1'
_cell_length_a 4.3067
_cell_length_b 4.3067
_cell_length_c 2.6740
_cell_angle_alpha 90.00
_cell_angle_beta 90.00
_cell_angle_gamma 120.00
_space_group_name_H-M_alt 'P 3 m 1'
_space_group_IT_number 156
loop_
_space_group_symop_operation_xyz
'x,y,z'
'-y,x-y,z'
'-x+y,-x,z'
'-y,-x,z'
'-x+y,y,z'
'x,x-y,z'
loop_
_atom_site_label
_atom_site_type_symbol
_atom_site_fract_x
_atom_site_fract_y
_atom_site_fract_z
V1 V 0.0000 0.0000 0.0000
Pd1 Pd 0.6667 0.3333 0.8821
Rh1 Rh 0.3333 0.6667 0.4114
# - crystal system = trigonal



4) # PBE VPdRh, relaxed
data_VPdRh
_chemical_formula_sum 'V8 Pd8 Rh8'
_cell_length_a 4.748
_cell_length_b 8.362
_cell_length_c 8.850
_cell_angle_alpha 90.00
_cell_angle_beta 90.00
_cell_angle_gamma 90.00
_space_group_name_H-M_alt 'F m m m'
_space_group_IT_number 69
_space_group_name_Hall '-F 2 2'
loop_
_atom_site_label
_atom_site_type_symbol
_atom_site_fract_x
_atom_site_fract_y
_atom_site_fract_z
V1 V 0.250 0.250 0.250
Pd1 Pd 0.000 0.157 0.000
Rh1 Rh 0.000 0.000 0.350
# - crystal system = orthorhombic



In kJ/mol of atoms, relative to the most stable structure: 1) 0.0; 2) 30.0; 3) 10.3; 4) 14.5.



1) # PBE V3PdRh6, relaxed
data_V3PdRh6
_chemical_formula_sum 'V12 Pd4 Rh24'
_cell_length_a 9.026
_cell_length_b 12.396
_cell_length_c 5.349
_cell_angle_alpha 90.00
_cell_angle_beta 90.00
_cell_angle_gamma 90.00
_space_group_name_H-M_alt 'C m c 21'
_space_group_IT_number 36
loop_
_space_group_symop_operation_xyz
'x,y,z'
'-x,-y,z+1/2'
'-x,y,z'
'x,-y,z+1/2'
'x+1/2,y+1/2,z'
'-x+1/2,-y+1/2,z+1/2'
'-x+1/2,y+1/2,z'
'x+1/2,-y+1/2,z+1/2'
loop_
_atom_site_label
_atom_site_type_symbol
_atom_site_fract_x
_atom_site_fract_y
_atom_site_fract_z
V1 V 0.000 0.118 0.000
V2 V 0.180 0.391 0.186
Pd1 Pd 0.000 0.308 0.869
Rh1 Rh 0.000 0.236 0.371
Rh2 Rh 0.000 0.458 0.503
Rh3 Rh 0.157 0.030 0.368
Rh4 Rh 0.249 0.202 0.092
# - crystal system = orthorhombic



2) # PBE V3PdRh6, relaxed
data_V3PdRh6
_chemical_formula_sum 'V6 Pd2 Rh12'
_cell_length_a 7.253
_cell_length_b 4.321
_cell_length_c 9.485
_cell_angle_alpha 90.00
_cell_angle_beta 109.92
_cell_angle_gamma 90.00
_space_group_name_H-M_alt 'P 1 21/m 1'
_space_group_IT_number 11
loop_
_space_group_symop_operation_xyz
'x,y,z'
'-x,-y,-z'
'-x,y+1/2,-z'
'x,-y+1/2,z'
loop_
_atom_site_label
_atom_site_type_symbol
_atom_site_fract_x
_atom_site_fract_y
_atom_site_fract_z
V1 V 0.088 0.250 0.232
V2 V 0.298 0.250 0.027
V3 V 0.315 0.750 0.371
Pd1 Pd 0.103 0.750 0.568
Rh1 Rh 0.091 0.250 0.736
Rh2 Rh 0.108 0.750 0.071
Rh3 Rh 0.299 0.750 0.869
Rh4 Rh 0.304 0.250 0.530
Rh5 Rh 0.484 0.250 0.324
Rh6 Rh 0.499 0.250 0.836
# - crystal system = monoclinic



In kJ/mol of atoms, relative to the most stable structure: 1) 21.2; 2) 0.0.



1) # PBE VPd3Rh, relaxed
data_VPd3Rh
_chemical_formula_sum 'V1 Pd3 Rh1'
_cell_length_a 4.516
_cell_length_b 4.516
_cell_length_c 4.516
_cell_angle_alpha 90.00
_cell_angle_beta 90.00
_cell_angle_gamma 90.00
_space_group_name_H-M_alt 'P m -3 m'
_space_group_IT_number 221
_space_group_name_Hall '-P 4 2 3'
loop_
_atom_site_label
_atom_site_type_symbol
_atom_site_fract_x
_atom_site_fract_y
_atom_site_fract_z
V1 V 0.000 0.000 0.000
Pd1 Pd 0.000 0.000 0.500
Rh1 Rh 0.500 0.500 0.500
# - crystal system = cubic



2) # PBE VPd3Rh, relaxed
data_VPd3Rh
_chemical_formula_sum 'V2 Pd6 Rh2'
_cell_length_a 4.982
_cell_length_b 7.333
_cell_length_c 4.489
_cell_angle_alpha 90.00
_cell_angle_beta 108.82
_cell_angle_gamma 90.00
_space_group_name_H-M_alt 'P 1 2/c 1'
_space_group_IT_number 13
loop_
_space_group_symop_operation_xyz
'x,y,z'
'-x,-y,-z'
'-x,y,-z+1/2'
'x,-y,z+1/2'
loop_
_atom_site_label
_atom_site_type_symbol
_atom_site_fract_x
_atom_site_fract_y
_atom_site_fract_z
V1 V 0.000 0.234 0.250
Pd1 Pd 0.280 0.106 0.850
Pd2 Pd 0.500 0.388 0.250
Rh1 Rh 0.000 0.416 0.750
# - crystal system = monoclinic



In kJ/mol of atoms, relative to the most stable structure: 1) 88.5; 2) 0.0.



1) # PBE V5PdRh4, relaxed
data_V5PdRh4
_chemical_formula_sum 'V5 Pd1 Rh4'
_cell_length_a 2.734
_cell_length_b 2.734
_cell_length_c 18.515
_cell_angle_alpha 90.00
_cell_angle_beta 90.00
_cell_angle_gamma 90.00
_space_group_name_H-M_alt 'P 4/m m m'
_space_group_IT_number 123
_space_group_name_Hall '-P 4 2'
loop_
_atom_site_label
_atom_site_type_symbol
_atom_site_fract_x
_atom_site_fract_y
_atom_site_fract_z
V1 V 0.000 0.000 0.000
V2 V 0.000 0.000 0.198
V3 V 0.000 0.000 0.395
Pd1 Pd 0.500 0.500 0.500
Rh1 Rh 0.500 0.500 0.098
Rh2 Rh 0.500 0.500 0.297
# - crystal system = tetragonal



2) # PBE V5PdRh4, relaxed
data_V5PdRh4
_chemical_formula_sum 'V5 Pd1 Rh4'
_cell_length_a 3.220
_cell_length_b 3.220
_cell_length_c 13.618
_cell_angle_alpha 90.00
_cell_angle_beta 90.00
_cell_angle_gamma 90.00
_space_group_name_H-M_alt 'P 4/m m m'
_space_group_IT_number 123
_space_group_name_Hall '-P 4 2'
loop_
_atom_site_label
_atom_site_type_symbol
_atom_site_fract_x
_atom_site_fract_y
_atom_site_fract_z
V1 V 0.000 0.000 0.000
V2 V 0.000 0.000 0.196
V3 V 0.000 0.000 0.390
Pd1 Pd 0.500 0.500 0.500
Rh1 Rh 0.500 0.500 0.100
Rh2 Rh 0.500 0.500 0.301
# - crystal system = tetragonal



In kJ/mol of atoms, relative to the most stable structure: 1) 0.0; 2) 14.5.



1) # PBE V3PdRh, relaxed
data_V3PdRh
_chemical_formula_sum 'V6 Pd2 Rh2'
_cell_length_a 4.486
_cell_length_b 5.149
_cell_length_c 6.495
_cell_angle_alpha 90.00
_cell_angle_beta 106.80
_cell_angle_gamma 90.00
_space_group_name_H-M_alt 'P 1 21/m 1'
_space_group_IT_number 11
loop_
_space_group_symop_operation_xyz
'x,y,z'
'-x,-y,-z'
'-x,y+1/2,-z'
'x,-y+1/2,z'
loop_
_atom_site_label
_atom_site_type_symbol
_atom_site_fract_x
_atom_site_fract_y
_atom_site_fract_z
V1 V 0.053 0.250 0.194
V2 V 0.311 0.501 0.616
Pd1 Pd 0.149 0.750 0.244
Rh1 Rh 0.442 0.250 0.015
# - crystal system = monoclinic



2) # PBE V3PdRh, relaxed
data_V3PdRh
_chemical_formula_sum 'V3 Pd1 Rh1'
_cell_length_a 4.513
_cell_length_b 4.513
_cell_length_c 4.513
_cell_angle_alpha 90.00
_cell_angle_beta 90.00
_cell_angle_gamma 90.00
_space_group_name_H-M_alt 'P m -3 m'
_space_group_IT_number 221
_space_group_name_Hall '-P 4 2 3'
loop_
_atom_site_label
_atom_site_type_symbol
_atom_site_fract_x
_atom_site_fract_y
_atom_site_fract_z
V1 V 0.000 0.000 0.500
Pd1 Pd 0.500 0.500 0.500
Rh1 Rh 0.000 0.000 0.000
# - crystal system = cubic



In kJ/mol of atoms, relative to the most stable structure: 1) 0.0; 2) 98.8.